1.
# PuBeOs (PBE, relaxed)
# ΔE to the lowest computed polymorph	0.000	eV/f.u.
# uncorrected energy	-9.46	eV per atom
data_PuBeOs
_chemical_formula_sum 'Pu4 Be4 Os4'
_symmetry_space_group_name_H-M 'F -4 3 m'
_symmetry_Int_Tables_number 216
_symmetry_space_group_name_Hall 'F -4 2 3'
_cell_length_a 5.765
_cell_length_b 5.765
_cell_length_c 5.765
_cell_angle_alpha 90.00
_cell_angle_beta 90.00
_cell_angle_gamma 90.00
loop_
_atom_site_label
_atom_site_type_symbol
_atom_site_fract_x
_atom_site_fract_y
_atom_site_fract_z
_atom_site_occupancy
Pu1 Pu 0.000 0.000 0.000 1
Be1 Be 0.250 0.250 0.750 1
Os1 Os 0.000 0.000 0.500 1

2.
# CsTmBeTe3 (PBE, relaxed)
# uncorrected energy	-4.10	eV per atom
data_CsTmBeTe3
_chemical_formula_sum 'Cs4 Tm4 Be4 Te12'
_symmetry_space_group_name_H-M 'C m c m'
_symmetry_Int_Tables_number 63
_symmetry_space_group_name_Hall '-C 2c 2'
_cell_length_a 4.281
_cell_length_b 17.210
_cell_length_c 11.551
_cell_angle_alpha 90.00
_cell_angle_beta 90.00
_cell_angle_gamma 90.00
loop_
_atom_site_label
_atom_site_type_symbol
_atom_site_fract_x
_atom_site_fract_y
_atom_site_fract_z
_atom_site_occupancy
Cs1 Cs 0.000 0.239 0.250 1
Tm1 Tm 0.000 0.500 0.000 1
Be1 Be 0.000 0.038 0.750 1
Te1 Te 0.000 0.116 0.571 1
Te2 Te 0.000 0.448 0.750 1

> What is the uncorrected energy in the second record?

-4.10 eV per atom

> What is the formula in the first record?

PuBeOs

> The lowest uncorrected energy belongs to which entry?

PuBeOs